# Rb2ZnCoO4

A relaxed Rb2ZnCoO4 crystal (GGA+U, Alexandria via LeMat-Bulk).

## Properties
- total DFT energy (no corrections) (eV/atom) = -4.65
- total magnetic moment (Bohr magnetons per cell) = 6.1
- crystal system = orthorhombic
- space group = Fddd, No. 70

Lattice parameters (Å, degrees): 5.1966 6.6564 10.4744 84.44 75.64 67.02
With the nearest neighbours (Å) after each atom.
Sites, in units of the cell vectors:
Zn1 0.7500 0.5000 0.5000  4 O 1.98
Zn2 0.0000 0.0000 0.0000  4 O 1.98
Rb1 0.5716 0.5000 0.8568  4 O 2.95-3.21
Rb2 0.9284 0.5000 0.1432  4 O 2.95-3.21
Rb3 0.1784 0.0000 0.6432  4 O 2.95-3.21
Rb4 0.8216 0.0000 0.3568  4 O 2.95-3.21
O1 0.8556 0.8149 0.9237  1 Co 1.80, 1 Zn 1.98
O2 0.3295 0.8149 0.0763  1 Co 1.80, 1 Zn 1.98
O3 0.4205 0.6851 0.4237  1 Co 1.80, 1 Zn 1.98
O4 0.8944 0.6851 0.5763  1 Co 1.80, 1 Zn 1.98
O5 0.5942 0.1851 0.0763  1 Co 1.80, 1 Zn 1.98
O6 0.1558 0.3149 0.4237  1 Co 1.80, 1 Zn 1.98
O7 0.2207 0.1851 0.9237  1 Co 1.80, 1 Zn 1.98
O8 0.5293 0.3149 0.5763  1 Co 1.80, 1 Zn 1.98
Co1 0.2500 0.5000 0.5000  4 O 1.80
Co2 0.5000 0.0000 0.0000  4 O 1.80